# 1
Pa3As: relaxed, PBE-GGA.

Lattice parameters (Å, degrees): 3.9664 3.9664 13.1650 90.00 90.00 90.00
With the nearest neighbours (Å) after each atom.
Element x y z (fractional)
Pa (0.0000, 0.0000, 0.0000)  4 As 2.80
Pa (0.0000, 0.0000, 0.2859)  1 As 2.82, 4 Pa 2.96
Pa (0.0000, 0.0000, 0.7141)  1 As 2.82, 4 Pa 2.96
Pa (0.5000, 0.5000, 0.2141)  1 As 2.82, 4 Pa 2.96
Pa (0.5000, 0.5000, 0.5000)  4 As 2.80
Pa (0.5000, 0.5000, 0.7859)  1 As 2.82, 4 Pa 2.96
As (0.0000, 0.0000, 0.5000)  6 Pa 2.80-2.82
As (0.5000, 0.5000, 0.0000)  6 Pa 2.80-2.82

Results
- energy relative to the elements (meV/atom) = -59
- VASP energy (Ha/atom) = -0.3066
- space group = I4/mmm, No. 139


# 2
Pa3As: relaxed, PBE-GGA.

Lattice parameters (Å, degrees): 3.3098 5.0967 5.4446 90.00 90.00 90.00
With the nearest neighbours (Å) after each atom.
Element x y z (fractional)
Pa (0.0000, 0.0000, 0.0000)  4 As 3.06-3.32, 8 Pa 3.10-3.37
Pa (0.0000, 0.5000, 0.4064)  8 Pa 3.10-3.37, 4 As 3.11
Pa (0.5000, 0.5000, 0.8873)  10 Pa 3.10-3.31, 2 As 3.21
As (0.5000, 0.0000, 0.5283)  10 Pa 3.06-3.32, 2 As 3.31

Results
- energy relative to the elements (meV/atom) = -324
- VASP energy (Ha/atom) = -0.3164
- space group = Pmm2, No. 25


# 3
Pa4As5: relaxed, PBE-GGA.

Lattice parameters (Å, degrees): 7.3457 7.3457 7.3457 95.05 95.05 145.48
With the nearest neighbours (Å) after each atom.
Element x y z (fractional)
Pa (0.1666, 0.1666, 0.3332)  6 As 2.98-3.20, 4 Pa 3.20-3.31
Pa (0.1666, 0.8334, 0.0000)  6 As 2.98-3.20, 4 Pa 3.20-3.31
Pa (0.8334, 0.1666, 0.0000)  6 As 2.98-3.20, 4 Pa 3.20-3.31
Pa (0.8334, 0.8334, 0.6669)  6 As 2.98-3.20, 4 Pa 3.20-3.31
As (0.2153, 0.5000, 0.7153)  1 As 2.82, 4 Pa 2.98
As (0.5000, 0.2153, 0.7153)  1 As 2.82, 4 Pa 2.98
As (0.5000, 0.5000, 0.0000)  4 As 2.82
As (0.5000, 0.7847, 0.2847)  1 As 2.82, 4 Pa 2.98
As (0.7847, 0.5000, 0.2847)  1 As 2.82, 4 Pa 2.98

Results
- energy relative to the elements (meV/atom) = -419
- VASP energy (Ha/atom) = -0.2654
- space group = I4/mmm, No. 139


# 4
PaAs2: relaxed, PBE-GGA.

Lattice parameters (Å, degrees): 5.4300 5.4263 5.2157 90.00 121.23 90.00
With the nearest neighbours (Å) after each atom.
Element x y z (fractional)
Pa (0.0000, 0.0000, 0.0000)  10 As 3.00-3.17
Pa (0.5000, 0.5000, 0.0000)  10 As 3.00-3.17
As (0.1443, 0.5000, 0.2894)  1 As 2.58
As (0.3557, 0.0000, 0.7106)  1 As 2.58
As (0.6443, 0.0000, 0.2894)  1 As 2.58
As (0.8557, 0.5000, 0.7106)  1 As 2.58

Results
- energy relative to the elements (meV/atom) = -689
- VASP energy (Ha/atom) = -0.2556
- space group = C2/m, No. 12


# 5
Pa3As2: relaxed, PBE-GGA.

Lattice parameters (Å, degrees): 11.4279 4.0396 10.4053 90.00 90.00 90.00
With the nearest neighbours (Å) after each atom.
Element x y z (fractional)
Pa (0.0541, 0.2500, 0.1233)  5 As 2.89-3.04
Pa (0.1313, 0.7500, 0.5701)  5 As 2.91-2.98, 2 Pa 3.10
Pa (0.2213, 0.2500, 0.7732)  5 As 2.93-3.14, 2 Pa 3.10
Pa (0.2787, 0.7500, 0.2732)  5 As 2.93-3.14, 2 Pa 3.10
Pa (0.3687, 0.2500, 0.0701)  5 As 2.91-2.98, 2 Pa 3.10
Pa (0.4459, 0.7500, 0.6233)  5 As 2.89-3.04
Pa (0.5541, 0.2500, 0.3767)  5 As 2.89-3.04
Pa (0.6313, 0.7500, 0.9299)  5 As 2.91-2.98, 2 Pa 3.10
Pa (0.7213, 0.2500, 0.7268)  5 As 2.93-3.14, 2 Pa 3.10
Pa (0.7787, 0.7500, 0.2268)  5 As 2.93-3.14, 2 Pa 3.10
Pa (0.8687, 0.2500, 0.4299)  5 As 2.91-2.98, 2 Pa 3.10
Pa (0.9459, 0.7500, 0.8767)  5 As 2.89-3.04
As (0.0215, 0.7500, 0.3183)  7 Pa 2.89-2.98
As (0.1927, 0.7500, 0.9867)  8 Pa 2.93-3.14
As (0.3073, 0.2500, 0.4867)  8 Pa 2.93-3.14
As (0.4785, 0.2500, 0.8183)  7 Pa 2.89-2.98
As (0.5215, 0.7500, 0.1817)  7 Pa 2.89-2.98
As (0.6927, 0.7500, 0.5133)  8 Pa 2.93-3.14
As (0.8073, 0.2500, 0.0133)  8 Pa 2.93-3.14
As (0.9785, 0.2500, 0.6817)  7 Pa 2.89-2.98

Results
- energy relative to the elements (meV/atom) = -629
- VASP energy (Ha/atom) = -0.3009
- space group = Pnma, No. 62


# 6
Pa3As4: relaxed, PBE-GGA.

Lattice parameters (Å, degrees): 7.4226 7.4226 7.4226 109.47 109.47 109.47
With the nearest neighbours (Å) after each atom.
Element x y z (fractional)
Pa (0.1250, 0.8750, 0.2500)  8 As 2.93-3.01
Pa (0.2500, 0.1250, 0.8750)  8 As 2.93-3.01
Pa (0.3750, 0.6250, 0.7500)  8 As 2.93-3.01
Pa (0.6250, 0.7500, 0.3750)  8 As 2.93-3.01
Pa (0.7500, 0.3750, 0.6250)  8 As 2.93-3.01
Pa (0.8750, 0.2500, 0.1250)  8 As 2.93-3.01
As (0.0000, 0.1582, 0.5000)  6 Pa 2.93-3.01, 3 As 3.23
As (0.0000, 0.6582, 0.5000)  6 Pa 2.93-3.01, 3 As 3.23
As (0.1582, 0.5000, 0.0000)  6 Pa 2.93-3.01, 3 As 3.23
As (0.3418, 0.3418, 0.3418)  6 Pa 2.93-3.01, 3 As 3.23
As (0.5000, 0.0000, 0.1582)  6 Pa 2.93-3.01, 3 As 3.23
As (0.5000, 0.0000, 0.6582)  6 Pa 2.93-3.01, 3 As 3.23
As (0.6582, 0.5000, 0.0000)  6 Pa 2.93-3.01, 3 As 3.23
As (0.8418, 0.8418, 0.8418)  6 Pa 2.93-3.01, 3 As 3.23

Results
- energy relative to the elements (meV/atom) = -1039
- VASP energy (Ha/atom) = -0.2854
- space group = I-43d, No. 220


# 7
PaAs: relaxed, PBE-GGA.

Lattice parameters (Å, degrees): 3.5132 3.5132 3.5132 90.00 90.00 90.00
With the nearest neighbours (Å) after each atom.
Element x y z (fractional)
Pa (0.0000, 0.0000, 0.0000)  8 As 3.04
As (0.5000, 0.5000, 0.5000)  8 Pa 3.04

Results
- energy relative to the elements (meV/atom) = -822
- VASP energy (Ha/atom) = -0.2901
- space group = Pm-3m, No. 221


# 8
Pa2As3: relaxed, PBE-GGA.

Lattice parameters (Å, degrees): 4.1734 4.1734 28.1468 90.00 90.00 120.00
With the nearest neighbours (Å) after each atom.
Element x y z (fractional)
Pa (0.0000, 0.0000, 0.1048)  6 As 2.78-2.97
Pa (0.0000, 0.0000, 0.8952)  6 As 2.78-2.97
Pa (0.3333, 0.6667, 0.5619)  6 As 2.78-2.97
Pa (0.3333, 0.6667, 0.7714)  6 As 2.78-2.97
Pa (0.6667, 0.3333, 0.2286)  6 As 2.78-2.97
Pa (0.6667, 0.3333, 0.4381)  6 As 2.78-2.97
As (0.0000, 0.0000, 0.2780)  3 Pa 2.78
As (0.0000, 0.0000, 0.5000)  6 Pa 2.97
As (0.0000, 0.0000, 0.7220)  3 Pa 2.78
As (0.3333, 0.6667, 0.1667)  6 Pa 2.97
As (0.3333, 0.6667, 0.3887)  3 Pa 2.78
As (0.3333, 0.6667, 0.9447)  3 Pa 2.78
As (0.6667, 0.3333, 0.0553)  3 Pa 2.78
As (0.6667, 0.3333, 0.6113)  3 Pa 2.78
As (0.6667, 0.3333, 0.8333)  6 Pa 2.97

Results
- energy relative to the elements (meV/atom) = -644
- VASP energy (Ha/atom) = -0.2658
- space group = R-3m, No. 166


# 9
PaAs5: relaxed, PBE-GGA.

Lattice parameters (Å, degrees): 3.9856 15.8487 4.0530 90.00 90.00 90.00
With the nearest neighbours (Å) after each atom.
Element x y z (fractional)
Pa (0.0000, 0.0000, 0.0000)  12 As 2.84-3.14
Pa (0.5000, 0.5000, 0.0000)  12 As 2.84-3.14
As (0.0000, 0.1494, 0.5000)  6 As 2.84-3.09, 2 Pa 3.12
As (0.0000, 0.3472, 0.0000)  6 As 2.84-3.16, 2 Pa 3.14
As (0.0000, 0.5000, 0.5000)  4 Pa 2.84, 8 As 3.09-3.16
As (0.0000, 0.6528, 0.0000)  6 As 2.84-3.16, 2 Pa 3.14
As (0.0000, 0.8506, 0.5000)  6 As 2.84-3.09, 2 Pa 3.12
As (0.5000, 0.0000, 0.5000)  4 Pa 2.84, 8 As 3.09-3.16
As (0.5000, 0.1528, 0.0000)  6 As 2.84-3.16, 2 Pa 3.14
As (0.5000, 0.3506, 0.5000)  6 As 2.84-3.09, 2 Pa 3.12
As (0.5000, 0.6494, 0.5000)  6 As 2.84-3.09, 2 Pa 3.12
As (0.5000, 0.8472, 0.0000)  6 As 2.84-3.16, 2 Pa 3.14

Results
- energy relative to the elements (meV/atom) = -266
- VASP energy (Ha/atom) = -0.2103
- space group = Cmmm, No. 65


# 10
PaAs2: relaxed, PBE-GGA.

Lattice parameters (Å, degrees): 4.0266 4.0266 8.1181 90.00 90.00 90.00
With the nearest neighbours (Å) after each atom.
Element x y z (fractional)
Pa (0.2500, 0.2500, 0.2204)  9 As 2.92-3.03
Pa (0.7500, 0.7500, 0.7796)  9 As 2.92-3.03
As (0.2500, 0.2500, 0.8586)  5 Pa 2.92-2.94
As (0.2500, 0.7500, 0.5000)  4 As 2.85, 4 Pa 3.03
As (0.7500, 0.2500, 0.5000)  4 As 2.85, 4 Pa 3.03
As (0.7500, 0.7500, 0.1414)  5 Pa 2.92-2.94

Results
- energy relative to the elements (meV/atom) = -934
- VASP energy (Ha/atom) = -0.2646
- space group = P4/nmm, No. 129


# 11
Pa3As: relaxed, PBE-GGA.

Lattice parameters (Å, degrees): 3.4504 9.8330 5.4569 90.00 90.00 90.00
With the nearest neighbours (Å) after each atom.
Element x y z (fractional)
Pa (0.0000, 0.0000, 0.0000)  6 Pa 3.00-3.24, 2 As 3.07
Pa (0.0000, 0.2335, 0.3536)  7 Pa 3.00-3.24, 3 As 3.04-3.14
Pa (0.0000, 0.7665, 0.3536)  7 Pa 3.00-3.24, 3 As 3.04-3.14
Pa (0.5000, 0.2665, 0.8536)  7 Pa 3.00-3.24, 3 As 3.04-3.14
Pa (0.5000, 0.5000, 0.5000)  6 Pa 3.00-3.24, 2 As 3.07
Pa (0.5000, 0.7335, 0.8536)  7 Pa 3.00-3.24, 3 As 3.04-3.14
As (0.0000, 0.5000, 0.0356)  10 Pa 3.04-3.39
As (0.5000, 0.0000, 0.5356)  10 Pa 3.04-3.39

Results
- energy relative to the elements (meV/atom) = -343
- VASP energy (Ha/atom) = -0.3170
- space group = Imm2, No. 44


# 12
Pa2AsPb: relaxed, PBE-GGA.

Lattice parameters (Å, degrees): 3.4877 3.4877 8.1337 90.00 90.00 90.00
With the nearest neighbours (Å) after each atom.
Element x y z (fractional)
Pa (0.0000, 0.0000, 0.2122)  4 As 3.01
Pa (0.0000, 0.0000, 0.7878)  4 As 3.01
As (0.5000, 0.5000, 0.0000)  8 Pa 3.01
Pb (0.5000, 0.5000, 0.5000)  8 Pa 3.40, 4 Pb 3.49

Results
- energy relative to the elements (meV/atom) = -356
- VASP energy (Ha/atom) = -0.2643
- space group = P4/mmm, No. 123